## ZrRe2Cl (PBE-GGA)

Data for an optimized crystal structure of ZrRe2Cl.

Calculated values
ΔE_f (raw): 0.8814 eV/atom
Calculated density: 11.96 g cm⁻³

Lattice parameters (Å, degrees): 7.395 7.395 5.811 50.48 50.48 90.00
Positions (direct):
Re  0.549  0.125  0.250
Re  0.201  0.625  0.250
Re  0.375  0.451  0.750
Re  0.875  0.799  0.750
Zr  0.000  0.000  0.000
Zr  0.750  0.250  0.500
Cl  0.500  0.500  0.000
Cl  0.250  0.750  0.500

=====

## Hf2VGe (PBE-GGA)

Data for an optimized crystal structure of Hf2VGe.

Calculated values
Formation energy: 0.06 eV/f.u.
Calculated density: 10.47 g cm⁻³

Lattice parameters (Å, degrees): 3.158 3.158 9.010 79.91 79.91 60.00
Positions (direct):
Ge  0.500  0.500  0.500
Hf  0.252  0.252  0.243
Hf  0.748  0.748  0.757
V  0.000  0.000  0.000